# 1
# Hf2CoRe, relaxed, DFT PBE
data_Hf2CoRe
_chemical_formula_sum 'Hf2 Co1 Re1'
_space_group_name_H-M_alt 'P 4/m m m'
_space_group_IT_number 123
_space_group_name_Hall '-P 4 2'
_cell_length_a 3.230
_cell_length_b 3.230
_cell_length_c 6.371
_cell_angle_alpha 90.00
_cell_angle_beta 90.00
_cell_angle_gamma 90.00
loop_
_atom_site_label
_atom_site_type_symbol
_atom_site_fract_x
_atom_site_fract_y
_atom_site_fract_z
Hf1 Hf 0.000 0.000 0.247
Co1 Co 0.500 0.500 0.000
Re1 Re 0.500 0.500 0.500
# Energy above the most stable polymorph in this dataset: 1 kJ/mol of formula units
# Formation energy: -1.597 eV/f.u.
# Size of the total moment: 0.0034 μB per atom

=====

# 2
# Hf2CoRe, relaxed, DFT PBE
data_Hf2CoRe
_chemical_formula_sum 'Hf8 Co4 Re4'
_space_group_name_H-M_alt 'F m -3 m'
_space_group_IT_number 225
_space_group_name_Hall '-F 4 2 3'
_cell_length_a 6.430
_cell_length_b 6.430
_cell_length_c 6.430
_cell_angle_alpha 90.00
_cell_angle_beta 90.00
_cell_angle_gamma 90.00
loop_
_atom_site_label
_atom_site_type_symbol
_atom_site_fract_x
_atom_site_fract_y
_atom_site_fract_z
Hf1 Hf 0.250 0.250 0.250
Co1 Co 0.000 0.000 0.000
Re1 Re 0.000 0.000 0.500
# Energy above the most stable polymorph in this dataset: 0 kJ/mol of formula units
# Formation energy: -1.603 eV/f.u.
# Size of the total moment: 0.0181 μB per atom

=====

# 3
# Hf9CoRe4, relaxed, DFT PBE
data_Hf9CoRe4
_chemical_formula_sum 'Hf18 Co2 Re8'
_space_group_name_H-M_alt 'P 63/m m c'
_space_group_IT_number 194
_space_group_name_Hall '-P 6c 2c'
_cell_length_a 8.5582
_cell_length_b 8.5582
_cell_length_c 8.4416
_cell_angle_alpha 90.00
_cell_angle_beta 90.00
_cell_angle_gamma 120.00
loop_
_atom_site_label
_atom_site_type_symbol
_atom_site_fract_x
_atom_site_fract_y
_atom_site_fract_z
Hf1 Hf 0.0827 0.5413 0.2500
Hf2 Hf 0.1996 0.3991 0.5580
Co1 Co 0.3333 0.6667 0.7500
Re1 Re 0.0000 0.0000 0.0000
Re2 Re 0.1104 0.2207 0.2500
# Formation energy: -4.828 eV/f.u.
# Size of the total moment: 0.0001 μB per atom

=====

# 4
# Hf2CoRe, relaxed, DFT PBE
data_Hf2CoRe
_chemical_formula_sum 'Hf8 Co4 Re4'
_space_group_name_H-M_alt 'F -4 3 m'
_space_group_IT_number 216
_space_group_name_Hall 'F -4 2 3'
_cell_length_a 6.382
_cell_length_b 6.382
_cell_length_c 6.382
_cell_angle_alpha 90.00
_cell_angle_beta 90.00
_cell_angle_gamma 90.00
loop_
_atom_site_label
_atom_site_type_symbol
_atom_site_fract_x
_atom_site_fract_y
_atom_site_fract_z
Hf1 Hf 0.000 0.000 0.000
Hf2 Hf 0.250 0.250 0.250
Co1 Co 0.250 0.250 0.750
Re1 Re 0.000 0.000 0.500
# Energy above the most stable polymorph in this dataset: 188 kJ/mol of formula units
# Formation energy: 0.350 eV/f.u.
# Size of the total moment: 0.2668 μB per atom

=====

# 5
# Hf2CoRe, relaxed, DFT PBE
data_Hf2CoRe
_chemical_formula_sum 'Hf8 Co4 Re4'
_space_group_name_H-M_alt 'F m -3 m'
_space_group_IT_number 225
_space_group_name_Hall '-F 4 2 3'
_cell_length_a 6.429
_cell_length_b 6.429
_cell_length_c 6.429
_cell_angle_alpha 90.00
_cell_angle_beta 90.00
_cell_angle_gamma 90.00
loop_
_atom_site_label
_atom_site_type_symbol
_atom_site_fract_x
_atom_site_fract_y
_atom_site_fract_z
Hf1 Hf 0.250 0.250 0.250
Co1 Co 0.000 0.000 0.000
Re1 Re 0.000 0.000 0.500
# Energy above the most stable polymorph in this dataset: 0 kJ/mol of formula units
# Formation energy: -1.603 eV/f.u.
# Size of the total moment: 0.0047 μB per atom

=====

# 6
# Hf2CoRe, relaxed, DFT PBE
data_Hf2CoRe
_chemical_formula_sum 'Hf8 Co4 Re4'
_space_group_name_H-M_alt 'I m m a'
_space_group_IT_number 74
_space_group_name_Hall '-I 2b 2'
_cell_length_a 6.390
_cell_length_b 6.514
_cell_length_c 6.388
_cell_angle_alpha 90.00
_cell_angle_beta 90.00
_cell_angle_gamma 90.00
loop_
_atom_site_label
_atom_site_type_symbol
_atom_site_fract_x
_atom_site_fract_y
_atom_site_fract_z
Hf1 Hf 0.250 0.000 0.250
Co1 Co 0.000 0.250 0.001
Re1 Re 0.000 0.250 0.500
# Energy above the most stable polymorph in this dataset: 9 kJ/mol of formula units
# Formation energy: -1.514 eV/f.u.
# Size of the total moment: 0.0002 μB per atom

=====

# 7
# HfCo2Re, relaxed, DFT PBE
data_HfCo2Re
_chemical_formula_sum 'Hf4 Co8 Re4'
_space_group_name_H-M_alt 'F -4 3 m'
_space_group_IT_number 216
_space_group_name_Hall 'F -4 2 3'
_cell_length_a 6.089
_cell_length_b 6.089
_cell_length_c 6.089
_cell_angle_alpha 90.00
_cell_angle_beta 90.00
_cell_angle_gamma 90.00
loop_
_atom_site_label
_atom_site_type_symbol
_atom_site_fract_x
_atom_site_fract_y
_atom_site_fract_z
Hf1 Hf 0.000 0.000 0.000
Co1 Co 0.000 0.000 0.500
Co2 Co 0.250 0.250 0.250
Re1 Re 0.250 0.250 0.750
# Formation energy: 0.570 eV/f.u.
# Size of the total moment: 0.2493 μB per atom

=====

# 8
# HfCoReSb, relaxed, DFT PBE
data_HfCoReSb
_chemical_formula_sum 'Hf4 Co4 Re4 Sb4'
_space_group_name_H-M_alt 'F -4 3 m'
_space_group_IT_number 216
_space_group_name_Hall 'F -4 2 3'
_cell_length_a 6.406
_cell_length_b 6.406
_cell_length_c 6.406
_cell_angle_alpha 90.00
_cell_angle_beta 90.00
_cell_angle_gamma 90.00
loop_
_atom_site_label
_atom_site_type_symbol
_atom_site_fract_x
_atom_site_fract_y
_atom_site_fract_z
Hf1 Hf 0.000 0.000 0.000
Co1 Co 0.250 0.250 0.750
Re1 Re 0.250 0.250 0.250
Sb1 Sb 0.000 0.000 0.500
# Energy above the most stable polymorph in this dataset: 0 kJ/mol of formula units
# Size of the total moment: 0.2504 μB per atom

=====

# 9
# HfCoReSn, relaxed, DFT PBE
data_HfCoReSn
_chemical_formula_sum 'Hf4 Co4 Re4 Sn4'
_space_group_name_H-M_alt 'F -4 3 m'
_space_group_IT_number 216
_space_group_name_Hall 'F -4 2 3'
_cell_length_a 6.404
_cell_length_b 6.404
_cell_length_c 6.404
_cell_angle_alpha 90.00
_cell_angle_beta 90.00
_cell_angle_gamma 90.00
loop_
_atom_site_label
_atom_site_type_symbol
_atom_site_fract_x
_atom_site_fract_y
_atom_site_fract_z
Hf1 Hf 0.000 0.000 0.000
Co1 Co 0.250 0.250 0.750
Re1 Re 0.250 0.250 0.250
Sn1 Sn 0.000 0.000 0.500
# Energy above the most stable polymorph in this dataset: 0 kJ/mol of formula units
# Size of the total moment: 0.0021 μB per atom

=====

# 10
# HfTlCoRe, relaxed, DFT PBE
data_HfTlCoRe
_chemical_formula_sum 'Hf4 Tl4 Co4 Re4'
_space_group_name_H-M_alt 'F -4 3 m'
_space_group_IT_number 216
_space_group_name_Hall 'F -4 2 3'
_cell_length_a 6.482
_cell_length_b 6.482
_cell_length_c 6.482
_cell_angle_alpha 90.00
_cell_angle_beta 90.00
_cell_angle_gamma 90.00
loop_
_atom_site_label
_atom_site_type_symbol
_atom_site_fract_x
_atom_site_fract_y
_atom_site_fract_z
Hf1 Hf 0.000 0.000 0.000
Tl1 Tl 0.000 0.000 0.500
Co1 Co 0.250 0.250 0.750
Re1 Re 0.250 0.250 0.250
# Energy above the most stable polymorph in this dataset: 0 kJ/mol of formula units
# Size of the total moment: 0.1774 μB per atom

=====

# 11
# HfTlCoRe, relaxed, DFT PBE
data_HfTlCoRe
_chemical_formula_sum 'Hf4 Tl4 Co4 Re4'
_space_group_name_H-M_alt 'F -4 3 m'
_space_group_IT_number 216
_space_group_name_Hall 'F -4 2 3'
_cell_length_a 6.504
_cell_length_b 6.504
_cell_length_c 6.504
_cell_angle_alpha 90.00
_cell_angle_beta 90.00
_cell_angle_gamma 90.00
loop_
_atom_site_label
_atom_site_type_symbol
_atom_site_fract_x
_atom_site_fract_y
_atom_site_fract_z
Hf1 Hf 0.000 0.000 0.000
Tl1 Tl 0.250 0.250 0.250
Co1 Co 0.000 0.000 0.500
Re1 Re 0.250 0.250 0.750
# Energy above the most stable polymorph in this dataset: 76 kJ/mol of formula units
# Size of the total moment: 0.5472 μB per atom

=====

# 12
# HfZnCoRe, relaxed, DFT PBE
data_HfZnCoRe
_chemical_formula_sum 'Hf4 Zn4 Co4 Re4'
_space_group_name_H-M_alt 'F -4 3 m'
_space_group_IT_number 216
_space_group_name_Hall 'F -4 2 3'
_cell_length_a 6.213
_cell_length_b 6.213
_cell_length_c 6.213
_cell_angle_alpha 90.00
_cell_angle_beta 90.00
_cell_angle_gamma 90.00
loop_
_atom_site_label
_atom_site_type_symbol
_atom_site_fract_x
_atom_site_fract_y
_atom_site_fract_z
Hf1 Hf 0.000 0.000 0.000
Zn1 Zn 0.000 0.000 0.500
Co1 Co 0.250 0.250 0.750
Re1 Re 0.250 0.250 0.250
# Energy above the most stable polymorph in this dataset: 0 kJ/mol of formula units
# Formation energy: 0.469 eV/f.u.
# Size of the total moment: 0.1650 μB per atom

=====

# 13
# Hf3Co4Sb4, relaxed, DFT PBE
data_Hf3Co4Sb4
_chemical_formula_sum 'Hf6 Co8 Sb8'
_space_group_name_H-M_alt 'I -4 2 m'
_space_group_IT_number 121
_space_group_name_Hall 'I -4 2'
_cell_length_a 6.034
_cell_length_b 6.034
_cell_length_c 12.041
_cell_angle_alpha 90.00
_cell_angle_beta 90.00
_cell_angle_gamma 90.00
loop_
_atom_site_label
_atom_site_type_symbol
_atom_site_fract_x
_atom_site_fract_y
_atom_site_fract_z
Hf1 Hf 0.000 0.000 0.000
Hf2 Hf 0.000 0.500 0.250
Co1 Co 0.249 0.249 0.624
Sb1 Sb 0.000 0.000 0.255
Sb2 Sb 0.000 0.500 0.000
# E_tot: -7.215 eV per atom
# Size of the total moment: 0.2088 μB per atom

=====

# 14
# HfCoSb2, relaxed, DFT PBE
data_HfCoSb2
_chemical_formula_sum 'Hf4 Co4 Sb8'
_space_group_name_H-M_alt 'F -4 3 m'
_space_group_IT_number 216
_space_group_name_Hall 'F -4 2 3'
_cell_length_a 6.899
_cell_length_b 6.899
_cell_length_c 6.899
_cell_angle_alpha 90.00
_cell_angle_beta 90.00
_cell_angle_gamma 90.00
loop_
_atom_site_label
_atom_site_type_symbol
_atom_site_fract_x
_atom_site_fract_y
_atom_site_fract_z
Hf1 Hf 0.000 0.000 0.000
Co1 Co 0.250 0.250 0.250
Sb1 Sb 0.000 0.000 0.500
Sb2 Sb 0.250 0.250 0.750
# E_tot: -6.007 eV per atom
# Size of the total moment: 0.1832 μB per atom

=====

# 15
# Hf2CoSb, relaxed, DFT PBE
data_Hf2CoSb
_chemical_formula_sum 'Hf8 Co4 Sb4'
_space_group_name_H-M_alt 'F -4 3 m'
_space_group_IT_number 216
_space_group_name_Hall 'F -4 2 3'
_cell_length_a 6.697
_cell_length_b 6.697
_cell_length_c 6.697
_cell_angle_alpha 90.00
_cell_angle_beta 90.00
_cell_angle_gamma 90.00
loop_
_atom_site_label
_atom_site_type_symbol
_atom_site_fract_x
_atom_site_fract_y
_atom_site_fract_z
Hf1 Hf 0.000 0.000 0.000
Hf2 Hf 0.250 0.250 0.250
Co1 Co 0.250 0.250 0.750
Sb1 Sb 0.000 0.000 0.500
# E_tot: -7.573 eV per atom
# Size of the total moment: 0.5788 μB per atom

=====

# 16
# HfCoSb2, relaxed, DFT PBE
data_HfCoSb2
_chemical_formula_sum 'Hf4 Co4 Sb8'
_space_group_name_H-M_alt 'F -4 3 m'
_space_group_IT_number 216
_space_group_name_Hall 'F -4 2 3'
_cell_length_a 6.881
_cell_length_b 6.881
_cell_length_c 6.881
_cell_angle_alpha 90.00
_cell_angle_beta 90.00
_cell_angle_gamma 90.00
loop_
_atom_site_label
_atom_site_type_symbol
_atom_site_fract_x
_atom_site_fract_y
_atom_site_fract_z
Hf1 Hf 0.000 0.000 0.000
Co1 Co 0.250 0.250 0.750
Sb1 Sb 0.000 0.000 0.500
Sb2 Sb 0.250 0.250 0.250
# E_tot: -6.006 eV per atom
# Size of the total moment: 0.1720 μB per atom

=====

# 17
# HfScCoSb, relaxed, DFT PBE
data_HfScCoSb
_chemical_formula_sum 'Hf4 Sc4 Co4 Sb4'
_space_group_name_H-M_alt 'F -4 3 m'
_space_group_IT_number 216
_space_group_name_Hall 'F -4 2 3'
_cell_length_a 6.670
_cell_length_b 6.670
_cell_length_c 6.670
_cell_angle_alpha 90.00
_cell_angle_beta 90.00
_cell_angle_gamma 90.00
loop_
_atom_site_label
_atom_site_type_symbol
_atom_site_fract_x
_atom_site_fract_y
_atom_site_fract_z
Hf1 Hf 0.000 0.000 0.000
Sc1 Sc 0.250 0.250 0.250
Co1 Co 0.250 0.250 0.750
Sb1 Sb 0.000 0.000 0.500
# Energy above the most stable polymorph in this dataset: 0 kJ/mol of formula units
# Size of the total moment: 0.7024 μB per atom

=====

# 18
# HfThCo2Sb2, relaxed, DFT PBE
data_HfThCo2Sb2
_chemical_formula_sum 'Hf4 Th4 Co8 Sb8'
_space_group_name_H-M_alt 'P 1 m 1'
_space_group_IT_number 6
_space_group_name_Hall 'P -2y'
_cell_length_a 8.963
_cell_length_b 4.435
_cell_length_c 13.324
_cell_angle_alpha 90.00
_cell_angle_beta 108.96
_cell_angle_gamma 90.00
loop_
_atom_site_label
_atom_site_type_symbol
_atom_site_fract_x
_atom_site_fract_y
_atom_site_fract_z
Hf1 Hf 0.000 0.000 0.000
Hf2 Hf 0.118 0.500 0.748
Hf3 Hf 0.248 0.000 0.501
Hf4 Hf 0.752 0.000 0.506
Th1 Th 0.374 0.500 0.249
Th2 Th 0.500 0.000 0.000
Th3 Th 0.622 0.500 0.752
Th4 Th 0.878 0.500 0.257
Co1 Co 0.062 0.500 0.121
Co2 Co 0.176 0.000 0.869
Co3 Co 0.302 0.500 0.623
Co4 Co 0.441 0.000 0.387
Co5 Co 0.568 0.500 0.129
Co6 Co 0.709 0.000 0.883
Co7 Co 0.816 0.500 0.625
Co8 Co 0.945 0.000 0.390
Sb1 Sb 0.003 0.500 0.510
Sb2 Sb 0.126 0.000 0.252
Sb3 Sb 0.228 0.500 0.989
Sb4 Sb 0.349 0.000 0.741
Sb5 Sb 0.499 0.500 0.502
Sb6 Sb 0.631 0.000 0.263
Sb7 Sb 0.766 0.500 0.003
Sb8 Sb 0.884 0.000 0.749
# E_tot: -7.303 eV per atom
# Size of the total moment: 0.0001 μB per atom

=====

# 19
# HfCoSbW, relaxed, DFT PBE
data_HfCoSbW
_chemical_formula_sum 'Hf4 Co4 Sb4 W4'
_space_group_name_H-M_alt 'F -4 3 m'
_space_group_IT_number 216
_space_group_name_Hall 'F -4 2 3'
_cell_length_a 6.451
_cell_length_b 6.451
_cell_length_c 6.451
_cell_angle_alpha 90.00
_cell_angle_beta 90.00
_cell_angle_gamma 90.00
loop_
_atom_site_label
_atom_site_type_symbol
_atom_site_fract_x
_atom_site_fract_y
_atom_site_fract_z
Hf1 Hf 0.000 0.000 0.000
Co1 Co 0.250 0.250 0.750
Sb1 Sb 0.000 0.000 0.500
W1 W 0.250 0.250 0.250
# Energy above the most stable polymorph in this dataset: 0 kJ/mol of formula units
# Size of the total moment: 0.0012 μB per atom

=====

# 20
# YHfCoSb, relaxed, DFT PBE
data_YHfCoSb
_chemical_formula_sum 'Y4 Hf4 Co4 Sb4'
_space_group_name_H-M_alt 'F -4 3 m'
_space_group_IT_number 216
_space_group_name_Hall 'F -4 2 3'
_cell_length_a 6.873
_cell_length_b 6.873
_cell_length_c 6.873
_cell_angle_alpha 90.00
_cell_angle_beta 90.00
_cell_angle_gamma 90.00
loop_
_atom_site_label
_atom_site_type_symbol
_atom_site_fract_x
_atom_site_fract_y
_atom_site_fract_z
Y1 Y 0.000 0.000 0.000
Hf1 Hf 0.250 0.250 0.250
Co1 Co 0.250 0.250 0.750
Sb1 Sb 0.000 0.000 0.500
# Energy above the most stable polymorph in this dataset: 0 kJ/mol of formula units
# Size of the total moment: 0.4467 μB per atom

=====

no.,mass density (g cm⁻³)
1,15.04
2,15.04
3,14.95
4,15.38
5,15.05
6,15.04
7,14.20
8,13.78
9,13.72
10,15.31
11,15.16
12,13.54
13,9.53
14,9.73
15,11.89
16,9.81
17,9.04
18,10.24
19,13.43
20,9.17